Ca2CuOs PBE-GGA optimized geometry; DOS(E_F) = 3.6 states/eV per cell; total energy = -31.2 eV/cell; symmetry = I-42d
1.0
-3.233 -1.325 -2.386
-1.112 -2.738 3.028
-7.804 4.613 4.263
Os Cu Ca
2 2 4
direct
0.000 0.000 0.000
0.750 0.250 0.500
0.500 0.500 0.000
0.250 0.750 0.500
0.375 0.374 0.750
0.124 0.625 0.250
0.626 0.125 0.250
0.875 0.876 0.750


Cs2NaHg2H6 PBE-GGA optimized geometry; DOS(E_F) = 2.4 states/eV per cell; total energy = -24.1 eV/cell; symmetry = C2/m
1.0
-0.012 -4.539 4.326
5.007 3.989 -0.345
-6.047 2.924 3.051
Hg H Cs Na
2 6 2 1
direct
0.937 0.874 0.766
0.063 0.126 0.234
0.755 0.511 0.672
0.245 0.489 0.328
0.741 0.975 0.258
0.766 0.025 0.742
0.259 0.025 0.742
0.234 0.975 0.258
0.291 0.581 0.841
0.709 0.419 0.159
0.500 0.000 0.500


SiRhOF2 PBE-GGA optimized geometry; DOS(E_F) = 3.4 states/eV per cell; offset from the most stable computed form = 0.815 eV/atom; uncorrected formation energy = -0.11 eV per atom; symmetry = P4/mmm
1.0
4.571 0.000 0.000
0.000 3.549 0.000
0.000 0.000 4.571
Si F Rh O
1 2 1 1
direct
0.500 0.500 0.500
0.500 0.000 0.000
0.000 0.000 0.500
0.000 0.500 0.000
0.000 0.000 0.000


CoPd5Pt PBE-GGA optimized geometry; DOS(E_F) = 12.1 states/eV per cell; total energy = -32.5 eV/cell; symmetry = Imm2
1.0
7.034 0.000 0.000
0.000 9.007 0.000
-3.517 -4.503 2.537
Pd Co Pt
5 1 1
direct
0.888 0.250 0.000
0.066 0.500 0.000
0.635 0.751 0.502
0.888 0.750 0.000
0.133 0.249 0.498
0.216 0.000 0.000
0.705 0.500 0.000


LiCrSb PBE-GGA optimized geometry; DOS(E_F) = 0.6 states/eV per cell; offset from the most stable computed form = 0.118 eV/atom; uncorrected formation energy = 0.03 eV per atom; symmetry = I4mm
1.0
-1.326 -0.480 4.678
2.380 -0.460 4.241
0.201 3.219 1.877
Cr Li Sb
1 1 1
direct
0.989 0.989 0.011
0.669 0.669 0.331
0.341 0.341 0.659


Ga2AgOsPd PBE-GGA optimized geometry; DOS(E_F) = 3.6 states/eV per cell; total energy = -22.3 eV/cell; symmetry = P4/mmm
1.0
-1.336 1.719 4.209
4.407 -1.272 1.918
1.740 4.246 -1.181
Ga Pd Ag Os
2 1 1 1
direct
0.500 0.000 0.000
0.000 0.000 0.500
0.000 0.500 0.000
0.500 0.500 0.500
0.000 0.000 0.000


V3PdPb PBE-GGA optimized geometry; DOS(E_F) = 10.1 states/eV per cell; total energy = -27.2 eV/cell; symmetry = Pm-3m
1.0
5.084 0.000 0.000
0.000 5.084 0.000
0.000 0.000 5.084
V Pb Pd
3 1 1
direct
0.500 0.000 0.000
0.000 0.500 0.000
0.000 0.000 0.500
0.000 0.000 0.000
0.500 0.500 0.500


LiLa3Ce2Te6 PBE-GGA optimized geometry; DOS(E_F) = 17.8 states/eV per cell; uncorrected formation energy = -1.44 eV per atom; symmetry = C2/m
1.0
4.513 0.000 0.000
0.000 9.052 0.332
-2.256 -2.585 9.506
Ce Te Li La
2 6 1 3
direct
0.833 0.665 0.666
0.167 0.335 0.334
0.001 0.238 0.002
0.667 0.581 0.334
0.340 0.917 0.680
0.660 0.083 0.320
0.333 0.419 0.666
0.999 0.762 0.998
0.500 0.000 0.000
0.832 0.168 0.664
0.168 0.832 0.336
0.500 0.500 0.000


Number 1: spin magnetization 1.0 μB/cell, calculated density 6.48 g cm⁻³. Number 2: spin magnetization 0.0 μB/cell, calculated density 5.08 g cm⁻³. Number 3: spin magnetization 0.0 μB/cell, calculated density 4.14 g cm⁻³. Number 4: spin magnetization 2.8 μB/cell, calculated density 8.12 g cm⁻³. Number 5: spin magnetization 4.0 μB/cell, calculated density 5.24 g cm⁻³. Number 6: spin magnetization 0.0 μB/cell, calculated density 8.09 g cm⁻³. Number 7: spin magnetization 8.9 μB/cell, calculated density 5.89 g cm⁻³. Number 8: spin magnetization 2.5 μB/cell, calculated density 6.22 g cm⁻³.